Material: Rb3Li2HgF9
Method: DFT, PBE
State: relaxed

- magnetization (μB/cell) = 2.1
- formation energy without anion corrections (meV/atom) = -2214.0
- total energy (eV per atom) = -3.806
- symmetry = No. 164

Lattice parameters (Å, degrees): 6.0503 6.0503 7.5805 90.00 90.00 120.00
Closest atoms and distances in Å follow each position.
Element x y z (fractional)
Rb1 0.0000 0.0000 0.0000  12 F 3.03-3.08
Rb2 0.3333 0.6667 0.6870  12 F 2.95-3.19, 1 Li 3.22
Rb3 0.6667 0.3333 0.3130  12 F 2.95-3.19, 1 Li 3.22
Li1 0.3333 0.6667 0.1117  3 F 1.94
Li2 0.6667 0.3333 0.8883  3 F 1.94
Hg1 0.0000 0.0000 0.5000  6 F 2.15
F1 0.0000 0.5000 0.0000  2 Li 1.94
F2 0.1668 0.3337 0.3343  1 Hg 2.15
F3 0.1668 0.8332 0.3343  1 Hg 2.15
F4 0.3337 0.1668 0.6657  1 Hg 2.15
F5 0.5000 0.0000 0.0000  2 Li 1.94
F6 0.5000 0.5000 0.0000  2 Li 1.94
F7 0.6663 0.8332 0.3343  1 Hg 2.15
F8 0.8332 0.1668 0.6657  1 Hg 2.15
F9 0.8332 0.6663 0.6657  1 Hg 2.15